[1]
Compound: InGaCuPt
Source: Alexandria via LeMat-Bulk
Functional: PBE
Structure: optimized geometry

Geometry as CIF:
```
data_InGaCuPt
_cell_length_a 4.531
_cell_length_b 4.531
_cell_length_c 4.531
_cell_angle_alpha 60.00
_cell_angle_beta 60.00
_cell_angle_gamma 60.00
_space_group_name_H-M_alt 'P 1'
_space_group_IT_number 1
_space_group_name_Hall 'P 1'
loop_
_atom_site_label
_atom_site_type_symbol
_atom_site_fract_x
_atom_site_fract_y
_atom_site_fract_z
Cu1 Cu 0.750 0.750 0.750
Ga1 Ga 0.500 0.500 0.500
Pt1 Pt 0.250 0.250 0.250
In1 In 0.000 0.000 0.000
```

Properties
Raw total energy   -4.17 eV/atom
Formation energy from the elements   -0.193 eV/atom

=====

[2]
Compound: KPIr2
Source: Alexandria via LeMat-Bulk
Functional: PBE
Structure: optimized geometry

Geometry as CIF:
```
data_KPIr2
_cell_length_a 5.994
_cell_length_b 5.994
_cell_length_c 8.709
_cell_angle_alpha 45.06
_cell_angle_beta 45.06
_cell_angle_gamma 27.68
_space_group_name_H-M_alt 'P 1'
_space_group_IT_number 1
_space_group_name_Hall 'P 1'
loop_
_atom_site_label
_atom_site_type_symbol
_atom_site_fract_x
_atom_site_fract_y
_atom_site_fract_z
Ir1 Ir 0.099 0.099 0.752
Ir2 Ir 0.401 0.401 0.748
K1 K 0.250 0.250 0.250
P1 P 0.750 0.750 0.750
```

Properties
Raw total energy   -6.02 eV/atom
Formation energy from the elements   0.039 eV/atom

=====

[3]
Compound: Ce5GeCl4
Source: Alexandria via LeMat-Bulk
Functional: PBE
Structure: optimized geometry

Geometry as CIF:
```
data_Ce5GeCl4
_cell_length_a 4.212
_cell_length_b 5.749
_cell_length_c 10.458
_cell_angle_alpha 105.95
_cell_angle_beta 101.62
_cell_angle_gamma 90.00
_space_group_name_H-M_alt 'P 1'
_space_group_IT_number 1
_space_group_name_Hall 'P 1'
loop_
_atom_site_label
_atom_site_type_symbol
_atom_site_fract_x
_atom_site_fract_y
_atom_site_fract_z
Ce1 Ce 0.604 0.104 0.208
Ce2 Ce 0.801 0.301 0.601
Ce3 Ce 0.199 0.699 0.399
Ce4 Ce 0.000 0.500 0.000
Ce5 Ce 0.396 0.896 0.792
Ge1 Ge 0.000 0.000 0.000
Cl1 Cl 0.401 0.401 0.801
Cl2 Cl 0.796 0.796 0.593
Cl3 Cl 0.204 0.204 0.407
Cl4 Cl 0.599 0.599 0.199
```

Properties
Formation energy (no corrections)   -1.297 eV per atom
Raw total energy   -5.46 eV/atom

=====

[4]
Compound: TmLuGaNi
Source: Alexandria via LeMat-Bulk
Functional: PBE
Structure: optimized geometry

Geometry as CIF:
```
data_TmLuGaNi
_cell_length_a 4.842
_cell_length_b 4.842
_cell_length_c 4.842
_cell_angle_alpha 60.00
_cell_angle_beta 60.00
_cell_angle_gamma 60.00
_space_group_name_H-M_alt 'P 1'
_space_group_IT_number 1
_space_group_name_Hall 'P 1'
loop_
_atom_site_label
_atom_site_type_symbol
_atom_site_fract_x
_atom_site_fract_y
_atom_site_fract_z
Ni1 Ni 0.250 0.250 0.250
Lu1 Lu 0.000 0.000 0.000
Tm1 Tm 0.500 0.500 0.500
Ga1 Ga 0.750 0.750 0.750
```

Properties
Raw total energy   -4.94 eV/atom
Formation energy from the elements   -0.492 eV/atom

=====

[5]
Compound: Nd2Dy9Ho
Source: Alexandria via LeMat-Bulk
Functional: PBE
Structure: optimized geometry

Geometry as CIF:
```
data_Nd2Dy9Ho
_cell_length_a 3.492
_cell_length_b 11.271
_cell_length_c 11.271
_cell_angle_alpha 120.00
_cell_angle_beta 90.00
_cell_angle_gamma 90.00
_space_group_name_H-M_alt 'P 1'
_space_group_IT_number 1
_space_group_name_Hall 'P 1'
loop_
_atom_site_label
_atom_site_type_symbol
_atom_site_fract_x
_atom_site_fract_y
_atom_site_fract_z
Nd1 Nd 0.000 0.333 0.667
Nd2 Nd 0.000 0.667 0.333
Dy1 Dy 0.000 0.000 0.500
Dy2 Dy 0.000 0.500 0.500
Dy3 Dy 0.000 0.500 0.000
Dy4 Dy 0.500 0.346 0.173
Dy5 Dy 0.500 0.173 0.827
Dy6 Dy 0.500 0.173 0.346
Dy7 Dy 0.500 0.827 0.654
Dy8 Dy 0.500 0.827 0.173
Dy9 Dy 0.500 0.654 0.827
Ho1 Ho 0.000 0.000 0.000
```

Properties
Raw total energy   -4.56 eV/atom
Offset from the most stable computed form   46.5 meV per atom
Formation energy from the elements   0.068 eV/atom

=====

[6]
Compound: TlFeTe2
Source: Alexandria via LeMat-Bulk
Functional: PBE
Structure: optimized geometry

Geometry as CIF:
```
data_TlFeTe2
_cell_length_a 5.103
_cell_length_b 5.103
_cell_length_c 5.103
_cell_angle_alpha 60.00
_cell_angle_beta 60.00
_cell_angle_gamma 60.00
_space_group_name_H-M_alt 'P 1'
_space_group_IT_number 1
_space_group_name_Hall 'P 1'
loop_
_atom_site_label
_atom_site_type_symbol
_atom_site_fract_x
_atom_site_fract_y
_atom_site_fract_z
Tl1 Tl 0.500 0.500 0.500
Te1 Te 0.250 0.250 0.250
Te2 Te 0.750 0.750 0.750
Fe1 Fe 0.000 0.000 0.000
```

Properties
Formation energy (no corrections)   0.708 eV per atom
Raw total energy   -3.57 eV/atom

=====

[7]
Compound: ScCu11
Source: Alexandria via LeMat-Bulk
Functional: PBE
Structure: optimized geometry

Geometry as CIF:
```
data_ScCu11
_cell_length_a 6.486
_cell_length_b 7.719
_cell_length_c 7.719
_cell_angle_alpha 79.83
_cell_angle_beta 65.16
_cell_angle_gamma 65.16
_space_group_name_H-M_alt 'P 1'
_space_group_IT_number 1
_space_group_name_Hall 'P 1'
loop_
_atom_site_label
_atom_site_type_symbol
_atom_site_fract_x
_atom_site_fract_y
_atom_site_fract_z
Sc1 Sc 0.500 0.000 0.000
Sc2 Sc 0.250 0.500 0.500
Cu1 Cu 0.431 0.826 0.417
Cu2 Cu 0.674 0.174 0.583
Cu3 Cu 0.000 0.000 0.000
Cu4 Cu 0.750 0.500 0.500
Cu5 Cu 0.375 0.750 0.750
Cu6 Cu 0.875 0.750 0.250
Cu7 Cu 0.875 0.250 0.750
Cu8 Cu 0.875 0.250 0.250
Cu9 Cu 0.431 0.417 0.826
Cu10 Cu 0.007 0.674 0.917
Cu11 Cu 0.598 0.326 0.083
Cu12 Cu 0.674 0.583 0.174
Cu13 Cu 0.743 0.583 0.826
Cu14 Cu 0.152 0.417 0.174
Cu15 Cu 0.076 0.326 0.917
Cu16 Cu 0.319 0.674 0.083
Cu17 Cu 0.319 0.083 0.674
Cu18 Cu 0.743 0.826 0.583
Cu19 Cu 0.152 0.174 0.417
Cu20 Cu 0.076 0.917 0.326
Cu21 Cu 0.007 0.917 0.674
Cu22 Cu 0.598 0.083 0.326
```

Properties
Raw total energy   -4.31 eV/atom
Formation energy from the elements   -0.023 eV/atom

=====

[8]
Compound: K2HfHg2Cl6
Source: Alexandria via LeMat-Bulk
Functional: PBE
Structure: optimized geometry

Geometry as CIF:
```
data_K2HfHg2Cl6
_cell_length_a 7.673
_cell_length_b 7.673
_cell_length_c 9.599
_cell_angle_alpha 99.18
_cell_angle_beta 99.18
_cell_angle_gamma 120.60
_space_group_name_H-M_alt 'P 1'
_space_group_IT_number 1
_space_group_name_Hall 'P 1'
loop_
_atom_site_label
_atom_site_type_symbol
_atom_site_fract_x
_atom_site_fract_y
_atom_site_fract_z
K1 K 0.333 0.667 0.500
K2 K 0.667 0.333 0.500
Hf1 Hf 0.000 0.000 0.500
Hg1 Hg 0.795 0.205 0.000
Hg2 Hg 0.205 0.795 0.000
Cl1 Cl 0.797 0.797 0.656
Cl2 Cl 0.065 0.328 0.656
Cl3 Cl 0.203 0.203 0.344
Cl4 Cl 0.328 0.065 0.656
Cl5 Cl 0.935 0.672 0.344
Cl6 Cl 0.672 0.935 0.344
```

Properties
Formation energy (no corrections)   -1.569 eV per atom
Raw total energy   -3.74 eV/atom